--- A ---
Compound: CuMo2Cl
Source: Alexandria via LeMat-Bulk
Functional: PBE
Structure: optimized geometry

The structure belongs to space group Pm (No. 6); the cell edges are 3.263, 3.088 and 7.131 Å and the angles 90.00°, 92.08° and 90.00°. The inequivalent atoms are Cu at (0.000, 0.000, 0.000), Mo at (0.005, 0.000, 0.593), Mo at (0.471, 0.500, 0.778) and Cl at (0.006, 0.500, 0.306).

=====

--- B ---
Compound: CuMo2Cl
Source: Alexandria via LeMat-Bulk
Functional: PBE
Structure: optimized geometry

The structure belongs to space group Pmmm (No. 47); the cell edges are 2.707, 3.939 and 5.719 Å and the angles 90.00°, 90.00° and 90.00°. The inequivalent atoms are Cu at (0.000, 0.000, 0.000), Mo at (0.500, 0.500, 0.240) and Cl at (0.500, 0.000, 0.500).

=====

Relative to the most stable one, in meV/atom, the structures come out at A 0; B 314.

=====

--- A ---
Compound: CuMo2Cl
Source: Alexandria via LeMat-Bulk
Functional: PBE
Structure: optimized geometry

The structure belongs to space group Imm2 (No. 44); the cell edges are 3.069, 4.362 and 11.317 Å and the angles 90.00°, 90.00° and 90.00°. The inequivalent atoms are Cu at (0.000, 0.000, 0.000), Mo at (0.000, 0.000, 0.523), Mo at (0.000, 0.500, 0.864) and Cl at (0.000, 0.500, 0.235).

=====

--- B ---
Compound: CuMo2Cl
Source: Alexandria via LeMat-Bulk
Functional: PBE
Structure: optimized geometry

The structure belongs to space group F-43m (No. 216); the cell edges are 6.269, 6.269 and 6.269 Å and the angles 90.00°, 90.00° and 90.00°. The inequivalent atoms are Cu at (0.000, 0.000, 0.000), Mo at (0.000, 0.000, 0.500), Mo at (0.250, 0.250, 0.250) and Cl at (0.250, 0.250, 0.750).

=====

--- C ---
Compound: CuMo2Cl
Source: Alexandria via LeMat-Bulk
Functional: PBE
Structure: optimized geometry

The structure belongs to space group Fm-3m (No. 225); the cell edges are 6.120, 6.120 and 6.120 Å and the angles 90.00°, 90.00° and 90.00°. The inequivalent atoms are Cu at (0.000, 0.000, 0.000), Mo at (0.250, 0.250, 0.250) and Cl at (0.000, 0.000, 0.500).

=====

--- D ---
Compound: CuMo2Cl
Source: Alexandria via LeMat-Bulk
Functional: PBE
Structure: optimized geometry

The structure belongs to space group P4/mmm (No. 123); the cell edges are 4.556, 4.556 and 2.776 Å and the angles 90.00°, 90.00° and 90.00°. The inequivalent atoms are Cu at (0.000, 0.000, 0.000), Mo at (0.000, 0.500, 0.500) and Cl at (0.500, 0.500, 0.000).

=====

Relative to the most stable one, in meV/atom, the structures come out at A 0; B 360; C 267; D 183.